Record 1
An optimized crystal structure of CsRb2BaHg. Source: Alexandria via LeMat-Bulk, functional PBE-GGA.

Lattice parameters (Å, degrees): 7.336 7.336 6.806 90.00 90.00 90.00
Space group P4/mmm (No. 123)
One atom of each set of equivalent atoms:
Cs1 0.000 0.000 0.000 x1
Rb1 0.000 0.500 0.500 x2
Ba1 0.500 0.500 0.000 x1
Hg1 0.500 0.500 0.500 x1

E_form = -0.06 eV per atom

Record 2
An optimized crystal structure of Li2MgGeS. Source: Alexandria via LeMat-Bulk, functional PBE-GGA.

Lattice parameters (Å, degrees): 4.835 4.835 4.978 90.00 90.00 90.00
Space group P4/mmm (No. 123)
One atom of each set of equivalent atoms:
Li1 0.000 0.500 0.000 x2
Mg1 0.000 0.000 0.500 x1
Ge1 0.500 0.500 0.000 x1
S1 0.500 0.500 0.500 x1

energy relative to the elements, uncorrected = 0.6 eV per formula unit

Record 3
An optimized crystal structure of SbAu3N. Source: Alexandria via LeMat-Bulk, functional PBE-GGA.

Lattice parameters (Å, degrees): 5.269 5.269 5.269 90.00 90.00 90.00
Space group Pm-3m (No. 221)
One atom of each set of equivalent atoms:
Sb1 0.000 0.000 0.000 x1
Au1 0.000 0.000 0.500 x3
N1 0.500 0.500 0.500 x1

distance to the lowest polymorph of the same formula = 0.520 eV per atom
energy relative to the elements, uncorrected = 6.6 eV per formula unit

Record 4
An optimized crystal structure of K2InCo. Source: Alexandria via LeMat-Bulk, functional PBE-GGA.

Lattice parameters (Å, degrees): 4.374 5.883 11.015 90.00 90.00 90.00
Space group Imm2 (No. 44)
One atom of each set of equivalent atoms:
K1 0.000 0.000 0.000 x2
K2 0.000 0.500 0.196 x2
In1 0.000 0.500 0.790 x2
Co1 0.000 0.000 0.403 x2

E_form = 0.48 eV per atom

Record 5
An optimized crystal structure of ErGeBiO6. Source: Alexandria via LeMat-Bulk, functional PBE-GGA.

Lattice parameters (Å, degrees): 5.3663 5.3663 4.5877 90.00 90.00 120.00
Space group P312 (No. 149)
One atom of each set of equivalent atoms:
Er1 0.0000 0.0000 0.0000 x1
Ge1 0.3333 0.6667 0.0000 x1
Bi1 0.6667 0.3333 0.5000 x1
O1 0.0266 0.3693 0.2370 x6

energy relative to the elements, uncorrected = -15.2 eV per formula unit

Record 6
An optimized crystal structure of AcZnPtAu2. Source: Alexandria via LeMat-Bulk, functional PBE-GGA.

Lattice parameters (Å, degrees): 4.122 4.200 12.883 90.00 90.00 90.00
Space group Imm2 (No. 44)
One atom of each set of equivalent atoms:
Ac1 0.000 0.000 0.000 x2
Zn1 0.000 0.500 0.767 x2
Pt1 0.000 0.000 0.407 x2
Au1 0.000 0.000 0.621 x2
Au2 0.000 0.500 0.267 x2

E_form = -0.65 eV per atom

Record 7
An optimized crystal structure of K4SrMn. Source: Alexandria via LeMat-Bulk, functional PBE-GGA.

Lattice parameters (Å, degrees): 11.067 11.067 11.067 90.00 90.00 90.00
Space group F-43m (No. 216)
One atom of each set of equivalent atoms:
K1 0.124 0.124 0.124 x16
Sr1 0.000 0.000 0.500 x4
Mn1 0.250 0.250 0.750 x4

E_form = 0.61 eV per atom

Record 8
An optimized crystal structure of Pr9Y4Zn11. Source: Alexandria via LeMat-Bulk, functional PBE-GGA.

Lattice parameters (Å, degrees): 15.466 22.257 3.556 90.00 90.00 90.00
Space group Cmmm (No. 65)
One atom of each set of equivalent atoms:
Pr1 0.000 0.000 0.000 x2
Pr2 0.115 0.243 0.000 x8
Pr3 0.121 0.415 0.000 x8
Y1 0.156 0.093 0.000 x8
Zn1 0.000 0.135 0.500 x4
Zn2 0.000 0.333 0.500 x4
Zn3 0.000 0.500 0.500 x2
Zn4 0.239 0.321 0.500 x8
Zn5 0.247 0.000 0.500 x4

E_form = -0.23 eV per atom

Number 1: final energy -5.317 eV for the cell shown. Number 2: final energy -13.614 eV for the cell shown. Number 3: final energy -15.645 eV for the cell shown. Number 4: final energy -20.278 eV for the cell shown. Number 5: final energy -58.057 eV for the cell shown. Number 6: final energy -42.459 eV for the cell shown. Number 7: final energy -46.437 eV for the cell shown. Number 8: final energy -176.741 eV for the cell shown.